1.
A relaxed CeNd3Sm12 crystal. Source: the Alexandria database, functional PBE.

Values from the calculation:
Volume, Å³/atom: 33.9
VASP energy, eV per atom: -4.7755
Calculated formation energy, eV/atom: 0.029

```
CeNd3Sm12
1.0
5.139 0.000 0.000
0.000 5.139 0.000
0.000 0.000 20.531
Ce Nd Sm
1 3 12
Direct
0.000 0.000 0.000
0.000 0.000 0.248
0.000 0.000 0.500
0.000 0.000 0.752
0.000 0.500 0.122
0.000 0.500 0.374
0.000 0.500 0.626
0.000 0.500 0.878
0.500 0.000 0.122
0.500 0.000 0.374
0.500 0.000 0.626
0.500 0.000 0.878
0.500 0.500 0.000
0.500 0.500 0.250
0.500 0.500 0.500
0.500 0.500 0.750
```

---

2.
A relaxed PrHI3 crystal. Source: the Alexandria database, functional PBE.

Values from the calculation:
Volume, Å³/atom: 40.0
Polymorph energy (0 for the lowest one), meV/atom: 352
VASP energy, eV per atom: -3.3295

```
PrHI3
1.0
4.786 -4.853 0.000
4.786 4.853 0.000
-4.650 0.000 8.605
Pr H I
2 2 6
Direct
0.217 0.217 0.050
0.783 0.783 0.950
0.035 0.035 0.128
0.965 0.965 0.872
0.057 0.454 0.805
0.420 0.420 0.587
0.454 0.057 0.805
0.546 0.943 0.195
0.580 0.580 0.413
0.943 0.546 0.195
```

---

3.
A relaxed NdTmCdGa crystal. Source: the Alexandria database, functional PBE.

Values from the calculation:
Volume, Å³/atom: 25.3
Polymorph energy (0 for the lowest one), meV/atom: 26
VASP energy, eV per atom: -3.7166
Calculated formation energy, eV/atom: -0.421

```
NdTmCdGa
1.0
0.000 3.701 3.701
3.701 0.000 3.701
3.701 3.701 0.000
Nd Tm Cd Ga
1 1 1 1
Direct
0.000 0.000 0.000
0.500 0.500 0.500
0.250 0.250 0.250
0.750 0.750 0.750
```

---

4.
A relaxed Tb2DyThBi5 crystal. Source: the Alexandria database, functional PBE.

Values from the calculation:
Volume, Å³/atom: 43.4
VASP energy, eV per atom: -4.3228
Calculated formation energy, eV/atom: 0.198

```
Tb2DyThBi5
1.0
5.724 0.000 0.000
0.000 5.724 0.000
0.000 0.000 11.923
Tb Dy Th Bi
2 1 1 5
Direct
0.000 0.000 0.231
0.000 0.000 0.769
0.500 0.500 0.500
0.500 0.500 0.000
0.000 0.000 0.500
0.000 0.500 0.000
0.500 0.000 0.000
0.500 0.500 0.258
0.500 0.500 0.742
```